20
Lattice="5.2732 0.0000 0.0383 0.0000 5.6988 0.0000 0.1042 0.0000 7.4432" Properties=species:S:1:pos:R:3 comment="LiY2MnO6, optimized geometry, DFT PBE+U" total_energy_ev_per_atom=-7.6615 magmom_total_mub_per_atom=0.196 space_group="P2_1/c, No. 14" pbc="T T T"
O 4.2673 4.6774 4.1403
O 3.2546 0.2136 1.9330
O 0.9156 1.2020 0.4459
O 3.6043 1.6475 4.1866
O 4.7073 3.0630 1.8460
O 1.5787 3.8708 0.3995
O 4.4618 4.4969 7.0356
O 1.7731 4.0514 3.2949
O 2.1228 5.4852 5.5485
O 0.6701 2.6358 5.6355
O 3.7987 1.8280 7.0820
O 1.1100 1.0214 3.3412
Li 2.6366 0.0000 0.0191
Li 0.0521 2.8494 3.7216
Mn 0.0000 2.8494 0.0000
Mn 2.6887 0.0000 3.7408
Y 0.1395 5.2355 1.8813
Y 2.5492 2.3861 1.8594
Y 5.2379 0.4633 5.6002
Y 2.8282 3.3127 5.6221